No. 1
First-principles (PBE) data for a relaxed NbPdSI crystal, as listed in Alexandria.

The structure in CIF format:
```
data_NbPdSI
_cell_length_a 3.5467
_cell_length_b 3.5467
_cell_length_c 22.8779
_cell_angle_alpha 90.00
_cell_angle_beta 90.00
_cell_angle_gamma 120.00
_symmetry_space_group_name_H-M 'P 1'
_symmetry_Int_Tables_number 1
_symmetry_space_group_name_Hall 'P 1'
loop_
_atom_site_label
_atom_site_type_symbol
_atom_site_fract_x
_atom_site_fract_y
_atom_site_fract_z
_atom_site_occupancy
Nb1 Nb 0.0000 0.0000 0.2562 1
Nb2 Nb 0.6667 0.3333 0.5895 1
Nb3 Nb 0.3333 0.6667 0.9228 1
I1 I 0.3333 0.6667 0.6777 1
I2 I 0.0000 0.0000 0.0110 1
I3 I 0.6667 0.3333 0.3443 1
S1 S 0.0000 0.0000 0.8585 1
S2 S 0.3333 0.6667 0.5252 1
S3 S 0.6667 0.3333 0.1918 1
Pd1 Pd 0.3333 0.6667 0.7972 1
Pd2 Pd 0.0000 0.0000 0.1305 1
Pd3 Pd 0.6667 0.3333 0.4639 1
```

Computed properties:
E_form (uncorrected): -0.329 eV per atom
Space-group type: R3m (160)
E_tot: -5.564 eV per atom
E above lowest polymorph: 7.1 meV/atom

No. 2
First-principles (PBE) data for a relaxed Li3ZrHg crystal, as listed in Alexandria.

The structure in CIF format:
```
data_Li3ZrHg
_cell_length_a 4.7257
_cell_length_b 4.7257
_cell_length_c 4.7257
_cell_angle_alpha 90.00
_cell_angle_beta 90.00
_cell_angle_gamma 90.00
_symmetry_space_group_name_H-M 'P 1'
_symmetry_Int_Tables_number 1
_symmetry_space_group_name_Hall 'P 1'
loop_
_atom_site_label
_atom_site_type_symbol
_atom_site_fract_x
_atom_site_fract_y
_atom_site_fract_z
_atom_site_occupancy
Li1 Li 0.0000 0.5000 0.0000 1
Li2 Li 0.5000 0.0000 0.0000 1
Li3 Li 0.0000 0.0000 0.5000 1
Hg1 Hg 0.0000 0.0000 0.0000 1
Zr1 Zr 0.5000 0.5000 0.5000 1
```

Computed properties:
Space-group type: Pm-3m (221)
Energy of formation from the pure elements: 0.45 eV/atom
E_tot: -2.469 eV per atom
E above lowest polymorph: 0.0 meV/atom

Q: Which value of E above lowest polymorph does entry 1 give?
A: 7.1 meV/atom

Q: Which of these has the lowest E_tot?
A: NbPdSI

Q: Which value of E_tot does entry 2 give?
A: -2.469 eV per atom

Q: What is the E_tot in the first record?
A: -5.564 eV per atom